Entry 1:
{
  "formula": "Sr3Zn2Pd",
  "functional": "PBE",
  "state": "optimized geometry",
  "final_energy_ev_per_atom": -2.365,
  "mass_density_g_cm3": 4.8,
  "lattice": [[3.724, 0.000, 0.000], [0.000, 3.724, 0.000], [0.000, 0.000, 12.562]],
  "species": ["Zn", "Sr", "Sr", "Zn", "Sr", "Pd"],
  "frac_coords": [[0.000, 0.000, 0.027], [0.500, 0.500, 0.874], [0.500, 0.500, 0.195], [0.500, 0.500, 0.437], [0.000, 0.000, 0.602], [0.000, 0.000, 0.365]]
}

=====

Entry 2:
{
  "formula": "TaPd2",
  "functional": "PBE",
  "state": "optimized geometry",
  "delta_e_f_ev_per_atom": -0.293,
  "final_energy_ev_per_atom": -7.694,
  "mass_density_g_cm3": 13.8,
  "lattice": [[-1.644, 1.442, 5.962], [-1.655, -3.427, -5.084], [2.184, -3.038, 1.337]],
  "species": ["Pd", "Ta", "Pd", "Ta", "Pd", "Pd"],
  "frac_coords": [[0.500, 0.500, 0.500], [0.663, 0.337, 0.000], [0.829, 0.171, 0.500], [0.337, 0.663, 0.000], [0.171, 0.829, 0.500], [0.000, 0.000, 0.000]]
}

=====

Entry 3:
{
  "formula": "TaPd",
  "functional": "PBE",
  "state": "optimized geometry",
  "delta_e_f_ev_per_atom": -0.367,
  "final_energy_ev_per_atom": -8.881,
  "mass_density_g_cm3": 14.4,
  "lattice": [[3.308, 0.000, 0.000], [0.000, 3.308, 0.000], [0.000, 0.000, 6.068]],
  "species": ["Ta", "Pd", "Ta", "Pd"],
  "frac_coords": [[0.000, 0.500, 0.857], [0.500, 0.000, 0.632], [0.500, 0.000, 0.143], [0.000, 0.500, 0.368]]
}

=====

Entry 4:
{
  "formula": "Ta3Pd2",
  "functional": "PBE",
  "state": "optimized geometry",
  "delta_e_f_ev_per_atom": -0.305,
  "final_energy_ev_per_atom": -9.486,
  "mass_density_g_cm3": 14.8,
  "lattice": [[-2.031, 4.242, 6.610], [-5.852, 1.907, 5.286], [4.573, -4.873, -4.600]],
  "species": ["Ta", "Ta", "Pd", "Ta", "Pd"],
  "frac_coords": [[0.607, 0.607, 0.000], [0.393, 0.393, 0.000], [0.802, 0.802, 0.000], [0.000, 0.000, 0.000], [0.198, 0.198, 0.000]]
}

=====

Entry 5:
{
  "formula": "TaPd3",
  "functional": "PBE",
  "state": "optimized geometry",
  "delta_e_f_ev_per_atom": -0.415,
  "final_energy_ev_per_atom": -7.259,
  "mass_density_g_cm3": 13.5,
  "lattice": [[5.545, 0.000, 0.000], [-2.773, 4.802, 0.000], [0.000, 0.000, 23.105]],
  "species": ["Ta", "Pd", "Ta", "Pd", "Ta", "Pd", "Ta", "Ta", "Pd", "Ta", "Pd", "Pd", "Pd", "Pd", "Pd", "Pd", "Pd", "Pd", "Pd", "Pd", "Pd", "Pd", "Pd", "Pd", "Pd", "Ta", "Pd", "Pd", "Pd", "Pd", "Pd", "Pd", "Pd", "Pd", "Ta", "Ta", "Ta", "Pd", "Pd", "Pd"],
  "frac_coords": [[0.000, 0.000, 0.250], [0.499, 0.998, 0.250], [0.000, 0.000, 0.750], [0.832, 0.168, 0.948], [0.667, 0.333, 0.455], [0.832, 0.664, 0.552], [0.333, 0.667, 0.151], [0.667, 0.333, 0.651], [0.499, 0.501, 0.250], [0.667, 0.333, 0.849], [0.501, 0.002, 0.750], [0.168, 0.336, 0.448], [0.666, 0.833, 0.651], [0.833, 0.167, 0.151], [0.833, 0.666, 0.151], [0.334, 0.167, 0.349], [0.167, 0.833, 0.849], [0.168, 0.832, 0.052], [0.832, 0.664, 0.948], [0.167, 0.833, 0.651], [0.167, 0.334, 0.651], [0.664, 0.832, 0.448], [0.168, 0.832, 0.448], [0.833, 0.167, 0.349], [0.501, 0.499, 0.750], [0.333, 0.667, 0.545], [0.334, 0.167, 0.151], [0.664, 0.832, 0.052], [0.167, 0.334, 0.849], [0.832, 0.168, 0.552], [0.168, 0.336, 0.052], [0.336, 0.168, 0.552], [0.666, 0.833, 0.849], [0.998, 0.499, 0.750], [0.333, 0.667, 0.349], [0.333, 0.667, 0.955], [0.667, 0.333, 0.045], [0.002, 0.501, 0.250], [0.833, 0.666, 0.349], [0.336, 0.168, 0.948]]
}

=====

Entry 6:
{
  "formula": "Ta2Pd",
  "functional": "PBE",
  "state": "optimized geometry",
  "delta_e_f_ev_per_atom": -0.265,
  "final_energy_ev_per_atom": -9.892,
  "mass_density_g_cm3": 15.1,
  "lattice": [[3.302, 0.000, 0.000], [0.000, 3.302, 0.000], [0.000, 0.000, 9.446]],
  "species": ["Ta", "Pd", "Pd", "Ta", "Ta", "Ta"],
  "frac_coords": [[0.000, 0.500, 0.765], [0.500, 0.000, 0.914], [0.000, 0.500, 0.086], [0.500, 0.000, 0.585], [0.000, 0.500, 0.415], [0.500, 0.000, 0.235]]
}

=====

Entry 7:
{
  "formula": "TaPd",
  "functional": "PBE",
  "state": "optimized geometry",
  "delta_e_f_ev_per_atom": 1.112,
  "final_energy_ev_per_atom": -7.402,
  "mass_density_g_cm3": 9.9,
  "lattice": [[2.818, -2.689, 1.246], [-0.809, -4.008, -0.108], [1.888, -2.394, -2.726]],
  "species": ["Pd", "Ta"],
  "frac_coords": [[0.000, 0.000, 0.000], [0.250, 0.250, 0.250]]
}

=====

Entry 8:
{
  "formula": "TaPd",
  "functional": "PBE",
  "state": "optimized geometry",
  "delta_e_f_ev_per_atom": -0.173,
  "final_energy_ev_per_atom": -8.687,
  "mass_density_g_cm3": 14.5,
  "lattice": [[2.882, 0.000, 0.000], [-1.441, 2.496, 0.000], [0.000, 0.000, 4.586]],
  "species": ["Pd", "Ta"],
  "frac_coords": [[0.667, 0.333, 0.750], [0.333, 0.667, 0.250]]
}

=====

Entry 9:
{
  "formula": "TaPd",
  "functional": "PBE",
  "state": "optimized geometry",
  "delta_e_f_ev_per_atom": 0.461,
  "final_energy_ev_per_atom": -8.053,
  "mass_density_g_cm3": 12.8,
  "lattice": [[0.000, 2.649, 2.649], [2.649, 0.000, 2.649], [2.649, 2.649, 0.000]],
  "species": ["Pd", "Ta"],
  "frac_coords": [[0.000, 0.000, 0.000], [0.500, 0.500, 0.500]]
}

=====

Entry 10:
{
  "formula": "Ta2Pd",
  "functional": "PBE",
  "state": "optimized geometry",
  "delta_e_f_ev_per_atom": 0.254,
  "final_energy_ev_per_atom": -9.373,
  "mass_density_g_cm3": 14.4,
  "lattice": [[0.000, 3.781, 3.781], [3.781, 0.000, 3.781], [3.781, 3.781, 0.000]],
  "species": ["Ta", "Ta", "Ta", "Pd", "Ta", "Pd"],
  "frac_coords": [[0.625, 0.625, 0.125], [0.125, 0.625, 0.625], [0.625, 0.125, 0.625], [0.250, 0.250, 0.250], [0.625, 0.625, 0.625], [0.000, 0.000, 0.000]]
}

=====

Entry 11:
{
  "formula": "TaPd2",
  "functional": "PBE",
  "state": "optimized geometry",
  "delta_e_f_ev_per_atom": -0.009,
  "final_energy_ev_per_atom": -7.410,
  "mass_density_g_cm3": 13.4,
  "lattice": [[0.000, 3.651, 3.651], [3.651, 0.000, 3.651], [3.651, 3.651, 0.000]],
  "species": ["Ta", "Pd", "Pd", "Ta", "Pd", "Pd"],
  "frac_coords": [[0.250, 0.250, 0.250], [0.625, 0.625, 0.125], [0.625, 0.125, 0.625], [0.000, 0.000, 0.000], [0.625, 0.625, 0.625], [0.125, 0.625, 0.625]]
}

=====

Entry 12:
{
  "formula": "Ta3Pd2",
  "functional": "PBE",
  "state": "optimized geometry",
  "delta_e_f_ev_per_atom": 0.047,
  "final_energy_ev_per_atom": -9.134,
  "mass_density_g_cm3": 14.4,
  "lattice": [[7.026, 0.000, 0.000], [0.000, 7.026, 0.000], [0.000, 0.000, 3.540]],
  "species": ["Ta", "Pd", "Ta", "Pd", "Ta", "Ta", "Ta", "Pd", "Pd", "Ta"],
  "frac_coords": [[0.827, 0.673, 0.500], [0.871, 0.371, 0.000], [0.173, 0.327, 0.500], [0.629, 0.871, 0.000], [0.327, 0.827, 0.500], [0.500, 0.500, 0.000], [0.000, 0.000, 0.000], [0.129, 0.629, 0.000], [0.371, 0.129, 0.000], [0.673, 0.173, 0.500]]
}

=====

Entry 13:
{
  "formula": "Tb3TaPd",
  "functional": "PBE",
  "state": "optimized geometry",
  "delta_e_f_ev_per_atom": 0.516,
  "final_energy_ev_per_atom": -5.667,
  "mass_density_g_cm3": 8.8,
  "lattice": [[2.179, -10.595, 0.000], [2.179, 10.595, 0.000], [0.000, 0.000, 6.250]],
  "species": ["Pd", "Ta", "Pd", "Tb", "Tb", "Tb", "Ta", "Tb", "Tb", "Tb"],
  "frac_coords": [[0.929, 0.071, 0.750], [0.630, 0.370, 0.250], [0.071, 0.929, 0.250], [0.197, 0.803, 0.990], [0.803, 0.197, 0.490], [0.197, 0.803, 0.510], [0.370, 0.630, 0.750], [0.946, 0.054, 0.250], [0.054, 0.946, 0.750], [0.803, 0.197, 0.010]]
}

=====

Entry 14:
{
  "formula": "TaTePd",
  "functional": "PBE",
  "state": "optimized geometry",
  "final_energy_ev_per_atom": -6.380,
  "mass_density_g_cm3": 10.8,
  "lattice": [[2.592, 2.659, 2.512], [-1.871, 2.995, 2.761], [0.202, -0.609, 4.437]],
  "species": ["Te", "Ta", "Pd"],
  "frac_coords": [[0.000, 0.000, 0.000], [0.750, 0.750, 0.750], [0.250, 0.250, 0.250]]
}

=====

Entry 15:
{
  "formula": "TaTePd",
  "functional": "PBE",
  "state": "optimized geometry",
  "final_energy_ev_per_atom": -6.599,
  "mass_density_g_cm3": 10.4,
  "lattice": [[-4.173, -1.454, 1.044], [-3.449, 0.761, -2.853], [-1.845, -3.451, -2.303]],
  "species": ["Ta", "Te", "Pd"],
  "frac_coords": [[0.000, 0.000, 0.000], [0.750, 0.750, 0.750], [0.250, 0.250, 0.250]]
}

=====

Entry 16:
{
  "formula": "YTaPd",
  "functional": "PBE",
  "state": "optimized geometry",
  "delta_e_f_ev_per_atom": 1.106,
  "final_energy_ev_per_atom": -6.725,
  "mass_density_g_cm3": 8.7,
  "lattice": [[-4.080, 2.199, 0.570], [-2.177, 1.873, -3.682], [-3.936, -1.926, -1.614]],
  "species": ["Ta", "Y", "Pd"],
  "frac_coords": [[0.000, 0.000, 0.000], [0.250, 0.250, 0.250], [0.500, 0.500, 0.500]]
}

=====

Entry 17:
{
  "formula": "YTa2Pd",
  "functional": "PBE",
  "state": "optimized geometry",
  "delta_e_f_ev_per_atom": 0.085,
  "final_energy_ev_per_atom": -8.751,
  "mass_density_g_cm3": 12.0,
  "lattice": [[4.117, -2.416, 0.038], [1.899, -1.416, 4.144], [0.038, -4.633, 1.149]],
  "species": ["Pd", "Y", "Ta", "Ta"],
  "frac_coords": [[0.500, 0.500, 0.500], [0.250, 0.250, 0.250], [0.000, 0.000, 0.000], [0.750, 0.750, 0.750]]
}

=====

Entry 18:
{
  "formula": "YTaPd",
  "functional": "PBE",
  "state": "optimized geometry",
  "delta_e_f_ev_per_atom": 0.272,
  "final_energy_ev_per_atom": -7.559,
  "mass_density_g_cm3": 8.9,
  "lattice": [[0.000, 3.269, 3.269], [3.269, 0.000, 3.269], [3.269, 3.269, 0.000]],
  "species": ["Pd", "Y", "Ta"],
  "frac_coords": [[0.000, 0.000, 0.000], [0.750, 0.750, 0.750], [0.250, 0.250, 0.250]]
}

=====

Entry 19:
{
  "formula": "ZrTaPd",
  "functional": "PBE",
  "state": "optimized geometry",
  "delta_e_f_ev_per_atom": 0.250,
  "final_energy_ev_per_atom": -8.275,
  "mass_density_g_cm3": 9.9,
  "lattice": [[-2.202, -3.885, 0.398], [-0.268, -2.027, 3.990], [-3.913, -0.145, 2.183]],
  "species": ["Ta", "Pd", "Zr"],
  "frac_coords": [[0.250, 0.250, 0.250], [0.000, 0.000, 0.000], [0.750, 0.750, 0.750]]
}

=====

Entry 20:
{
  "formula": "Tb3Pd5",
  "functional": "PBE",
  "state": "optimized geometry",
  "delta_e_f_ev_per_atom": -0.926,
  "final_energy_ev_per_atom": -5.896,
  "mass_density_g_cm3": 10.6,
  "lattice": [[4.598, -3.572, 0.000], [4.598, 3.572, 0.000], [0.000, 0.000, 9.647]],
  "species": ["Tb", "Pd", "Pd", "Tb", "Tb", "Tb", "Tb", "Tb", "Pd", "Pd", "Pd", "Pd", "Pd", "Pd", "Pd", "Pd"],
  "frac_coords": [[0.203, 0.203, 0.000], [0.507, 0.941, 0.750], [0.941, 0.507, 0.250], [0.381, 0.619, 0.250], [0.797, 0.797, 0.500], [0.619, 0.381, 0.750], [0.797, 0.797, 0.000], [0.203, 0.203, 0.500], [0.313, 0.687, 0.547], [0.313, 0.687, 0.953], [0.687, 0.313, 0.047], [0.981, 0.019, 0.250], [0.493, 0.059, 0.250], [0.059, 0.493, 0.750], [0.687, 0.313, 0.453], [0.019, 0.981, 0.750]]
}